(1)
Ti4V: relaxed, GGA-PBE.

a b c (Å): 4.533 4.533 4.533
angles (deg): 90.00 90.00 90.00
Space group Pm-3m (No. 221)
One atom of each set of equivalent atoms:
Ti1 0.000 0.000 0.000 x1
Ti2 0.000 0.500 0.500 x3
V1 0.500 0.500 0.500 x1

Summary:
Energy of formation   664 meV/atom
Energy relative to the lowest polymorph listed for this composition   549 meV/atom



(2)
PrNd7Sn4: relaxed, GGA-PBE.

a b c (Å): 14.217 5.919 11.265
angles (deg): 90.00 124.77 90.00
Space group C2/m (No. 12)
One atom of each set of equivalent atoms:
Pr1 0.000 0.000 0.000 x2
Nd1 0.000 0.500 0.000 x2
Nd2 0.058 0.000 0.373 x4
Nd3 0.183 0.500 0.607 x4
Nd4 0.210 0.000 0.886 x4
Sn1 0.065 0.500 0.766 x4
Sn2 0.198 0.500 0.327 x4

Summary:
Energy of formation   -312 meV/atom



(3)
PmNdSm2: relaxed, GGA-PBE.

a b c (Å): 3.5520 3.5520 38.0522
angles (deg): 90.00 90.00 120.00
Space group R-3m (No. 166, hexagonal axes)
One atom of each set of equivalent atoms:
Pm1 0.0000 0.0000 0.0000 x3
Nd1 0.0000 0.0000 0.5000 x3
Sm1 0.0000 0.0000 0.0890 x6

Summary:
Energy of formation   171 meV/atom
Energy relative to the lowest polymorph listed for this composition   173 meV/atom



(4)
ReP2Pt: relaxed, GGA-PBE.

a b c (Å): 2.915 4.017 5.064
angles (deg): 90.00 90.00 90.00
Space group Pmmm (No. 47)
One atom of each set of equivalent atoms:
Re1 0.000 0.000 0.000 x1
P1 0.000 0.500 0.500 x1
P2 0.500 0.500 0.000 x1
Pt1 0.500 0.000 0.500 x1

Summary:
Energy of formation   391 meV/atom
Energy relative to the lowest polymorph listed for this composition   610 meV/atom



(5)
Pa3InB: relaxed, GGA-PBE.

a b c (Å): 4.898 4.898 4.898
angles (deg): 90.00 90.00 90.00
Space group Pm-3m (No. 221)
One atom of each set of equivalent atoms:
Pa1 0.000 0.000 0.500 x3
In1 0.500 0.500 0.500 x1
B1 0.000 0.000 0.000 x1

Summary:
Energy of formation   -25 meV/atom



(6)
CaY3Pd: relaxed, GGA-PBE.

a b c (Å): 5.398 5.398 5.398
angles (deg): 90.00 90.00 90.00
Space group Pm-3m (No. 221)
One atom of each set of equivalent atoms:
Ca1 0.000 0.000 0.000 x1
Y1 0.000 0.000 0.500 x3
Pd1 0.500 0.500 0.500 x1

Summary:
Energy of formation   1143 meV/atom
Energy relative to the lowest polymorph listed for this composition   1329 meV/atom



(7)
Rh2CI: relaxed, GGA-PBE.

a b c (Å): 6.222 6.222 6.222
angles (deg): 90.00 90.00 90.00
Space group Fm-3m (No. 225)
One atom of each set of equivalent atoms:
Rh1 0.250 0.250 0.250 x8
C1 0.000 0.000 0.000 x4
I1 0.000 0.000 0.500 x4

Summary:
Raw formation energy   1.4628 eV per atom
Energy relative to the lowest polymorph listed for this composition   965 meV/atom



(8)
Pr2SmDy2Th2: relaxed, GGA-PBE.

a b c (Å): 12.637 5.985 6.299
angles (deg): 90.00 101.14 90.00
Space group C2/m (No. 12)
One atom of each set of equivalent atoms:
Pr1 0.080 0.000 0.311 x4
Sm1 0.000 0.500 0.000 x2
Dy1 0.145 0.500 0.584 x4
Th1 0.217 0.000 0.868 x4

Summary:
Energy of formation   143 meV/atom



| no. | V (Å³ per cell) |
| --- | --- |
| 1 | 93.2 |
| 2 | 778.8 |
| 3 | 415.8 |
| 4 | 59.3 |
| 5 | 117.5 |
| 6 | 157.3 |
| 7 | 240.9 |
| 8 | 467.4 |